Compound: Tb2Tm3Al4
Source: Alexandria via LeMat-Bulk
Functional: PBE-GGA
Structure: optimized geometry

Calculated values
crystal system	orthorhombic
ρ	6.834	g cm⁻³
energy relative to the elements	-0.209	eV per atom
E	-0.1614	Ha/atom
V	25.2	Å³ per atom
DOS at the Fermi energy	36.7	states/eV per cell

Cell lengths 6.1752, 19.3380, 7.5905 Å; angles 90.00, 90.00, 90.00 degrees
With the nearest neighbours (Å) after each atom.
Space group Cmce (No. 64)
Symmetry-distinct sites (fractional):
Tb (0.0000, 0.0894, 0.1036)  5 Al 3.10-3.39
Tm (0.0000, 0.0000, 0.5000)  6 Al 2.93-2.96
Tm (0.2500, 0.2485, 0.7500)  5 Al 3.07-3.13, 2 Tm 3.09
Al (0.0000, 0.1516, 0.4900)  2 Al 2.80, 5 Tm 2.93-3.13
Al (0.2500, 0.0865, 0.7500)  4 Al 2.80-3.09, 3 Tm 2.96-3.13, 2 Tb 3.10

=====

Compound: LiPrPdAu
Source: Alexandria via LeMat-Bulk
Functional: PBE-GGA
Structure: optimized geometry

Calculated values
crystal system	cubic
excess energy over the best structure of this formula in the dataset	84.2	meV per atom
ρ	8.715	g cm⁻³
energy relative to the elements	-0.587	eV per atom
E	-0.1609	Ha/atom
V	21.5	Å³ per atom
DOS at the Fermi energy	12.4	states/eV per cell

Cell lengths 7.0062, 7.0062, 7.0062 Å; angles 90.00, 90.00, 90.00 degrees
With the nearest neighbours (Å) after each atom.
Space group F-43m (No. 216)
Symmetry-distinct sites (fractional):
Li (0.0000, 0.0000, 0.0000)  4 Pd 3.03, 4 Au 3.03
Pr (0.0000, 0.0000, 0.5000)  4 Pd 3.03, 4 Au 3.03
Pd (0.2500, 0.2500, 0.2500)  4 Li 3.03, 4 Pr 3.03
Au (0.2500, 0.2500, 0.7500)  4 Li 3.03, 4 Pr 3.03

=====

Compound: Ba2Sc2Sb
Source: Alexandria via LeMat-Bulk
Functional: PBE-GGA
Structure: optimized geometry

Calculated values
crystal system	tetragonal
E_form (uncorrected)	-0.146	eV per atom
ρ	4.618	g cm⁻³
E	-0.1570	Ha/atom
V	35.0	Å³ per atom
DOS at the Fermi energy	15.8	states/eV per cell

Cell lengths 7.8570, 7.8570, 5.6655 Å; angles 90.00, 90.00, 90.00 degrees
With the nearest neighbours (Å) after each atom.
Space group P4/mbm (No. 127)
Symmetry-distinct sites (fractional):
Ba (0.1703, 0.3297, 0.0000)  6 Sc 3.50-3.77, 1 Ba 3.78
Sc (0.1444, 0.6444, 0.5000)  2 Sb 3.02, 1 Sc 3.21
Sb (0.0000, 0.0000, 0.5000)  4 Sc 3.02

=====

Compound: Ho4PuSc
Source: Alexandria via LeMat-Bulk
Functional: PBE-GGA
Structure: optimized geometry

Calculated values
crystal system	monoclinic
excess energy over the best structure of this formula in the dataset	37.8	meV per atom
ρ	9.025	g cm⁻³
energy relative to the elements	0.085	eV per atom
E	-0.2356	Ha/atom
V	29.1	Å³ per atom
DOS at the Fermi energy	50.1	states/eV per cell

Cell lengths 6.8423, 18.9425, 6.3439 Å; angles 90.00, 121.88, 90.00 degrees
With the nearest neighbours (Å) after each atom.
Space group C2/c (No. 15)
Symmetry-distinct sites (fractional):
Ho (0.2473, 0.1979, 0.2442)  11 Ho 3.38-3.78, 1 Sc 3.61, 1 Pu 3.65
Ho (0.2501, 0.1237, 0.7453)  2 Pu 3.23-3.35, 2 Sc 3.24-3.37, 7 Ho 3.38-3.54
Pu (0.0000, 0.0280, 0.2500)  4 Ho 3.23-3.35, 2 Pu 3.34, 4 Sc 3.39-3.42
Sc (0.0000, 0.4697, 0.7500)  6 Ho 3.24-3.61, 2 Sc 3.37, 4 Pu 3.39-3.42

=====

Compound: Fe8Mo3W
Source: Alexandria via LeMat-Bulk
Functional: PBE-GGA
Structure: optimized geometry

Calculated values
crystal system	trigonal
excess energy over the best structure of this formula in the dataset	0.0	meV per atom
ρ	10.355	g cm⁻³
energy relative to the elements	-0.015	eV per atom
E	-0.3470	Ha/atom
V	12.3	Å³ per atom
DOS at the Fermi energy	11.6	states/eV per cell

Cell lengths 4.6713, 4.6713, 7.7934 Å; angles 90.00, 90.00, 120.00 degrees
With the nearest neighbours (Å) after each atom.
Space group P3m1 (No. 156)
Symmetry-distinct sites (fractional):
Fe (0.0000, 0.0000, 0.0000)  6 Fe 2.39
Fe (0.0000, 0.0000, 0.5002)  6 Fe 2.39
Fe (0.1703, 0.3407, 0.2499)  6 Fe 2.28-2.39
Fe (0.3411, 0.1705, 0.7502)  6 Fe 2.28-2.39
Mo (0.3333, 0.6667, 0.5695)  12 Fe 2.73-2.82, 4 Mo 2.81-2.91
Mo (0.3333, 0.6667, 0.9300)  12 Fe 2.72-2.82, 1 Mo 2.81, 3 W 2.91
Mo (0.6667, 0.3333, 0.4304)  12 Fe 2.73-2.82, 1 W 2.82, 3 Mo 2.91
W (0.6667, 0.3333, 0.0691)  12 Fe 2.73-2.81, 4 Mo 2.82-2.91

=====

Compound: KMn2Pb
Source: Alexandria via LeMat-Bulk
Functional: PBE-GGA
Structure: optimized geometry

Calculated values
crystal system	orthorhombic
excess energy over the best structure of this formula in the dataset	401.9	meV per atom
ρ	5.809	g cm⁻³
energy relative to the elements	0.909	eV per atom
E	-0.1792	Ha/atom
V	25.5	Å³ per atom
DOS at the Fermi energy	3.3	states/eV per cell

Cell lengths 3.1782, 4.4395, 7.2163 Å; angles 90.00, 90.00, 90.00 degrees
With the nearest neighbours (Å) after each atom.
Space group Pmmm (No. 47)
Symmetry-distinct sites (fractional):
K (0.0000, 0.0000, 0.0000)  2 K 3.18
Mn (0.5000, 0.5000, 0.3595)  1 Mn 2.03
Pb (0.0000, 0.0000, 0.5000)  8 Mn 2.91, 2 Pb 3.18

=====

Question: Look up the E of the fourth one.
Answer: -0.2356 Ha/atom

=====

Question: ρ of number 1 (Tb2Tm3Al4)?
Answer: 6.834 g cm⁻³